[1]
Entry from Alexandria: a relaxed Li2YSn2 crystal (GGA-PBEsol).

abc: 3.130 8.120 8.120
angles: 90.00 90.00 90.00
Sites, in units of the cell vectors:
Y 0.000 0.500 0.500
Li 0.000 0.386 0.886
Sn 0.500 0.320 0.180
Li 0.000 0.614 0.114
Li 0.000 0.114 0.386
Sn 0.500 0.820 0.320
Y 0.000 0.000 0.000
Li 0.000 0.886 0.614
Sn 0.500 0.180 0.680
Sn 0.500 0.680 0.820

DFT total energy   -4.349 eV per atom
Energy above the lowest structure with this stoichiometry   48 meV per atom
Space group   No. 127
Spin magnetization   0.000 μB/f.u.

[2]
Entry from Alexandria: a relaxed Li2YSn2 crystal (GGA-PBEsol).

abc: 4.199 4.199 6.879
angles: 107.77 107.77 90.00
Sites, in units of the cell vectors:
Sn 0.389 0.389 0.777
Li 0.250 0.750 0.500
Y 0.000 0.000 0.000
Li 0.750 0.250 0.500
Sn 0.611 0.611 0.223

DFT total energy   -4.398 eV per atom
Energy above the lowest structure with this stoichiometry   0 meV per atom
Space group   No. 139
Spin magnetization   0.000 μB/f.u.

[3]
Entry from Alexandria: a relaxed Li3ZnSn crystal (GGA-PBEsol).

abc: 4.640 4.640 4.640
angles: 90.00 90.00 90.00
Sites, in units of the cell vectors:
Li 0.500 0.000 0.000
Sn 0.500 0.500 0.500
Li 0.000 0.000 0.500
Li 0.000 0.500 0.000
Zn 0.000 0.000 0.000

DFT total energy   -2.259 eV per atom
Energy above the lowest structure with this stoichiometry   0 meV per atom
Space group   No. 221
Spin magnetization   0.000 μB/f.u.

[4]
Entry from Alexandria: a relaxed Li3ZnSn crystal (GGA-PBEsol).

abc: 5.099 5.099 5.099
angles: 90.00 90.00 90.00
Sites, in units of the cell vectors:
Li 0.000 0.000 0.500
Li 0.500 0.000 0.000
Zn 0.500 0.500 0.500
Sn 0.000 0.000 0.000
Li 0.000 0.500 0.000

DFT total energy   -2.094 eV per atom
Energy above the lowest structure with this stoichiometry   165 meV per atom
Space group   No. 221
Spin magnetization   0.000 μB/f.u.

[5]
Entry from Alexandria: a relaxed Li3Zn2Sn4 crystal (GGA-PBEsol).

abc: 4.481 4.481 21.929
angles: 90.00 90.00 120.00
Sites, in units of the cell vectors:
Sn 0.667 0.333 0.030
Li 0.333 0.667 0.250
Li 0.667 0.333 0.750
Zn 0.667 0.333 0.346
Zn 0.667 0.333 0.154
Sn 0.000 0.000 0.817
Zn 0.333 0.667 0.654
Sn 0.000 0.000 0.317
Li 0.667 0.333 0.607
Sn 0.000 0.000 0.683
Sn 0.333 0.667 0.530
Li 0.667 0.333 0.893
Li 0.333 0.667 0.107
Sn 0.000 0.000 0.183
Zn 0.333 0.667 0.846
Sn 0.333 0.667 0.970
Sn 0.667 0.333 0.470
Li 0.333 0.667 0.393

DFT total energy   -3.166 eV per atom
Space group   No. 194
Spin magnetization   0.000 μB/f.u.

[6]
Entry from Alexandria: a relaxed Li2ZrSn2 crystal (GGA-PBEsol).

abc: 3.930 3.930 6.975
angles: 106.36 106.36 90.00
Sites, in units of the cell vectors:
Li 0.250 0.750 0.500
Zr 0.000 0.000 0.000
Sn 0.393 0.393 0.785
Sn 0.607 0.607 0.215
Li 0.750 0.250 0.500

DFT total energy   -4.630 eV per atom
Space group   No. 139
Spin magnetization   0.000 μB/f.u.